Record 1
# Pr4Y15Tm

An optimized crystal structure of Pr4Y15Tm (GGA-PBE, the Alexandria database).

Results
For the size of the total moment, the calculation gives 0.00 μB/atom. The value obtained for the calculated volume is 661 Å³/cell. The density of states at the Fermi level comes out at 30.0 states/eV/f.u. As for the total energy: -6.01 eV per atom. The formation energy from the elements comes out at 0.022 eV per atom.

a b c (Å): 5.102 5.102 25.408
angles (deg): 90.00 90.00 90.00
Space group P4/mmm (No. 123)
Symmetry-distinct sites (fractional):
Pr1 0.000 0.000 0.101 x2
Pr2 0.000 0.000 0.301 x2
Y1 0.000 0.500 0.000 x2
Y2 0.000 0.500 0.201 x4
Y3 0.000 0.500 0.402 x4
Y4 0.500 0.500 0.100 x2
Y5 0.500 0.500 0.302 x2
Y6 0.500 0.500 0.500 x1
Tm1 0.000 0.000 0.500 x1

Record 2
# Pr2Y3Tm6

An optimized crystal structure of Pr2Y3Tm6 (GGA-PBE, the Alexandria database).

Results
For the size of the total moment, the calculation gives 0.00 μB/atom. The value obtained for the calculated volume is 737 Å³/cell. The density of states at the Fermi level comes out at 17.3 states/eV/f.u. Its polymorph energy (0 for the lowest one) is 0.068 eV per atom. As for the total energy: -4.81 eV per atom. The formation energy from the elements comes out at 0.259 eV per atom.

a b c (Å): 4.730 4.730 32.954
angles (deg): 90.00 90.00 90.00
Space group I4/mmm (No. 139)
Symmetry-distinct sites (fractional):
Pr1 0.000 0.000 0.047 x4
Y1 0.000 0.000 0.296 x4
Y2 0.000 0.000 0.500 x2
Tm1 0.000 0.000 0.192 x4
Tm2 0.000 0.500 0.122 x8

Record 3
# Pr12YTm2

An optimized crystal structure of Pr12YTm2 (GGA-PBE, the Alexandria database).

Results
For the size of the total moment, the calculation gives 0.00 μB/atom. The value obtained for the calculated volume is 2146 Å³/cell. The density of states at the Fermi level comes out at 22.0 states/eV/f.u. As for the total energy: -4.69 eV per atom. The formation energy from the elements comes out at 0.156 eV per atom.

a b c (Å): 7.248 11.737 25.227
angles (deg): 90.00 90.00 90.00
Space group Cmme (No. 67)
Symmetry-distinct sites (fractional):
Pr1 0.000 0.002 0.073 x8
Pr2 0.000 0.024 0.560 x8
Pr3 0.231 0.250 0.414 x8
Pr4 0.249 0.250 0.868 x8
Pr5 0.250 0.000 0.198 x8
Pr6 0.250 0.000 0.324 x8
Y1 0.000 0.250 0.999 x4
Tm1 0.000 0.250 0.267 x4
Tm2 0.000 0.250 0.730 x4

Record 4
# PrY4Tm7

An optimized crystal structure of PrY4Tm7 (GGA-PBE, the Alexandria database).

Results
For the size of the total moment, the calculation gives 0.00 μB/atom. The value obtained for the calculated volume is 780 Å³/cell. The density of states at the Fermi level comes out at 21.7 states/eV/f.u. Its polymorph energy (0 for the lowest one) is 0.201 eV per atom. As for the total energy: -4.88 eV per atom. The formation energy from the elements comes out at 0.279 eV per atom.

a b c (Å): 12.040 5.832 12.592
angles (deg): 90.00 118.08 90.00
Space group C2/m (No. 12)
Symmetry-distinct sites (fractional):
Pr1 0.000 0.000 0.000 x2
Y1 0.130 0.500 0.775 x4
Y2 0.249 0.000 0.683 x4
Tm1 0.000 0.500 0.000 x2
Tm2 0.060 0.000 0.331 x4
Tm3 0.135 0.500 0.503 x4
Tm4 0.211 0.000 0.923 x4

Record 5
# Pr7YTm12

An optimized crystal structure of Pr7YTm12 (GGA-PBE, the Alexandria database).

Results
For the size of the total moment, the calculation gives 0.00 μB/atom. The value obtained for the calculated volume is 1421 Å³/cell. The density of states at the Fermi level comes out at 29.0 states/eV/f.u. Its polymorph energy (0 for the lowest one) is 0.423 eV per atom. As for the total energy: -4.03 eV per atom. The formation energy from the elements comes out at 0.650 eV per atom.

a b c (Å): 11.243 11.243 11.243
angles (deg): 90.00 90.00 90.00
Space group Im-3m (No. 229)
Symmetry-distinct sites (fractional):
Pr1 0.000 0.000 0.500 x6
Pr2 0.250 0.250 0.250 x8
Y1 0.000 0.000 0.000 x2
Tm1 0.000 0.247 0.247 x24

Record 6
# Pr3Y8Tm3

An optimized crystal structure of Pr3Y8Tm3 (GGA-PBE, the Alexandria database).

Results
For the size of the total moment, the calculation gives 0.00 μB/atom. The value obtained for the calculated volume is 932 Å³/cell. The density of states at the Fermi level comes out at 25.0 states/eV/f.u. Its polymorph energy (0 for the lowest one) is 0.000 eV per atom. As for the total energy: -5.56 eV per atom. The formation energy from the elements comes out at 0.112 eV per atom.

a b c (Å): 5.690 10.839 15.107
angles (deg): 90.00 90.00 90.00
Space group Immm (No. 71)
Symmetry-distinct sites (fractional):
Pr1 0.000 0.000 0.000 x2
Pr2 0.000 0.500 0.318 x4
Y1 0.000 0.160 0.280 x8
Y2 0.000 0.342 0.102 x8
Tm1 0.000 0.000 0.500 x2
Tm2 0.000 0.296 0.500 x4

Record 7
# Pr2Y6Tm3

An optimized crystal structure of Pr2Y6Tm3 (GGA-PBE, the Alexandria database).

Results
For the size of the total moment, the calculation gives 0.00 μB/atom. The value obtained for the calculated volume is 753 Å³/cell. The density of states at the Fermi level comes out at 19.4 states/eV/f.u. Its polymorph energy (0 for the lowest one) is 0.000 eV per atom. As for the total energy: -5.43 eV per atom. The formation energy from the elements comes out at 0.186 eV per atom.

a b c (Å): 6.131 10.632 11.736
angles (deg): 90.00 100.11 90.00
Space group C2/m (No. 12)
Symmetry-distinct sites (fractional):
Pr1 0.000 0.167 0.000 x4
Y1 0.249 0.167 0.745 x8
Y2 0.249 0.500 0.745 x4
Tm1 0.000 0.000 0.500 x2
Tm2 0.000 0.335 0.500 x4

Record 8
# Pr2Y5Tm12

An optimized crystal structure of Pr2Y5Tm12 (GGA-PBE, the Alexandria database).

Results
For the size of the total moment, the calculation gives 0.00 μB/atom. The value obtained for the calculated volume is 593 Å³/cell. The density of states at the Fermi level comes out at 27.0 states/eV/f.u. Its polymorph energy (0 for the lowest one) is 0.000 eV per atom. As for the total energy: -5.00 eV per atom. The formation energy from the elements comes out at 0.028 eV per atom.

a b c (Å): 6.122 9.361 10.597
angles (deg): 100.99 95.56 90.08
Space group P-1 (No. 2)
Symmetry-distinct sites (fractional):
Pr1 0.081 0.316 0.473 x2
Y1 0.238 0.947 0.419 x2
Y2 0.341 0.369 0.053 x2
Y3 0.500 0.000 0.000 x1
Tm1 0.024 0.104 0.156 x2
Tm2 0.132 0.526 0.791 x2
Tm3 0.183 0.737 0.104 x2
Tm4 0.291 0.159 0.739 x2
Tm5 0.396 0.580 0.367 x2
Tm6 0.447 0.790 0.686 x2

Record 9
# Pr3YTm6

An optimized crystal structure of Pr3YTm6 (GGA-PBE, the Alexandria database).

Results
For the size of the total moment, the calculation gives 0.00 μB/atom. The value obtained for the calculated volume is 1299 Å³/cell. The density of states at the Fermi level comes out at 11.6 states/eV/f.u. Its polymorph energy (0 for the lowest one) is 0.000 eV per atom. As for the total energy: -4.63 eV per atom. The formation energy from the elements comes out at 0.131 eV per atom.

a b c (Å): 9.402 15.546 8.886
angles (deg): 90.00 90.00 90.00
Space group Cmc2_1 (No. 36)
Symmetry-distinct sites (fractional):
Pr1 0.000 0.050 0.000 x4
Pr2 0.245 0.439 0.182 x8
Y1 0.000 0.223 0.753 x4
Tm1 0.000 0.281 0.123 x4
Tm2 0.000 0.446 0.868 x4
Tm3 0.174 0.353 0.513 x8
Tm4 0.178 0.153 0.359 x8

Record 10
# Pr6YTm

An optimized crystal structure of Pr6YTm (GGA-PBE, the Alexandria database).

Results
For the size of the total moment, the calculation gives 0.00 μB/atom. The value obtained for the calculated volume is 609 Å³/cell. The density of states at the Fermi level comes out at 13.6 states/eV/f.u. Its polymorph energy (0 for the lowest one) is 0.332 eV per atom. As for the total energy: -4.61 eV per atom. The formation energy from the elements comes out at 0.344 eV per atom.

a b c (Å): 9.279 7.285 9.326
angles (deg): 90.00 105.12 90.00
Space group C2/m (No. 12)
Symmetry-distinct sites (fractional):
Pr1 0.128 0.000 0.422 x4
Pr2 0.218 0.236 0.798 x8
Y1 0.000 0.000 0.000 x2
Tm1 0.000 0.500 0.500 x2

Record 11
# Pr5YTm3

An optimized crystal structure of Pr5YTm3 (GGA-PBE, the Alexandria database).

Results
For the size of the total moment, the calculation gives 0.00 μB/atom. The value obtained for the calculated volume is 1257 Å³/cell. The density of states at the Fermi level comes out at 13.7 states/eV/f.u. Its polymorph energy (0 for the lowest one) is 0.035 eV per atom. As for the total energy: -4.55 eV per atom. The formation energy from the elements comes out at 0.314 eV per atom.

a b c (Å): 9.355 9.355 14.360
angles (deg): 90.00 90.00 90.00
Space group I4/mcm (No. 140)
Symmetry-distinct sites (fractional):
Pr1 0.000 0.000 0.000 x4
Pr2 0.201 0.299 0.132 x16
Y1 0.000 0.500 0.250 x4
Tm1 0.000 0.000 0.250 x4
Tm2 0.109 0.391 0.500 x8

Record 12
# Pr12YTm7

An optimized crystal structure of Pr12YTm7 (GGA-PBE, the Alexandria database).

Results
For the size of the total moment, the calculation gives 0.00 μB/atom. The value obtained for the calculated volume is 2068 Å³/cell. The density of states at the Fermi level comes out at 35.7 states/eV/f.u. As for the total energy: -4.53 eV per atom. The formation energy from the elements comes out at 0.228 eV per atom.

a b c (Å): 12.3187 12.3187 15.7383
angles (deg): 90.00 90.00 120.00
Space group R-3 (No. 148, hexagonal axes)
Symmetry-distinct sites (fractional):
Pr1 0.0203 0.4467 0.2217 x18
Pr2 0.0627 0.5927 0.5787 x18
Y1 0.0000 0.0000 0.5000 x3
Tm1 0.0000 0.0000 0.0000 x3
Tm2 0.0534 0.1858 0.3016 x18